! PaCoSb2 PBE-GGA relaxed; values from VASP
&SYSTEM
  ibrav = 0, nat = 12, ntyp = 3
/
ATOMIC_SPECIES
Pa 231.04 Pa.upf
Co 58.93 Co.upf
Sb 121.76 Sb.upf
ATOMIC_POSITIONS angstrom
Pa 0.0000 0.0000 0.0000
Pa 0.0000 1.8773 20.5286
Pa 1.6258 0.9387 10.2643
Co 0.0000 0.0000 15.3964
Co 0.0000 1.8773 5.1322
Co 1.6258 0.9387 25.6607
Sb 0.0000 0.0000 12.9324
Sb 0.0000 0.0000 17.8604
Sb 0.0000 1.8773 2.6681
Sb 0.0000 1.8773 7.5962
Sb 1.6258 0.9387 23.1967
Sb 1.6258 0.9387 28.1248
CELL_PARAMETERS angstrom
3.2516 0.0000 0.0000
-1.6258 2.8160 0.0000
0.0000 0.0000 30.7929
! * energy relative to the elements, uncorrected: 0.28 eV per atom
! * symmetry: R-3m (166)
! * crystal system: trigonal
! * density: 9.4 g/cm3

***

! PaCoSb2 PBE-GGA relaxed; values from VASP
&SYSTEM
  ibrav = 0, nat = 8, ntyp = 3
/
ATOMIC_SPECIES
Pa 231.04 Pa.upf
Co 58.93 Co.upf
Sb 121.76 Sb.upf
ATOMIC_POSITIONS angstrom
Pa 0.0000 0.0000 0.0000
Pa 2.0986 4.9580 2.4321
Co 0.0000 0.0000 2.7138
Co 2.0986 4.9580 0.2817
Sb 0.0000 2.4778 2.3012
Sb 0.0000 7.4382 2.3012
Sb 2.0986 2.4802 4.7333
Sb 2.0986 7.4358 4.7333
CELL_PARAMETERS angstrom
4.1971 0.0000 0.0000
0.0000 9.9160 0.0000
0.0000 0.0000 4.8641
! * energy relative to the elements, uncorrected: -0.09 eV per atom
! * symmetry: Imm2 (44)
! * crystal system: orthorhombic
! * density: 8.8 g/cm3

***

! PaCoSb PBE-GGA relaxed; values from VASP
&SYSTEM
  ibrav = 0, nat = 6, ntyp = 3
/
ATOMIC_SPECIES
Pa 231.04 Pa.upf
Co 58.93 Co.upf
Sb 121.76 Sb.upf
ATOMIC_POSITIONS angstrom
Pa 0.0000 0.0000 0.0000
Pa 2.1691 2.1691 3.8285
Co 0.0000 0.0000 2.1198
Co 2.1691 2.1691 5.9482
Sb 0.0000 0.0000 4.6581
Sb 2.1691 2.1691 0.8297
CELL_PARAMETERS angstrom
4.3382 0.0000 0.0000
0.0000 4.3382 0.0000
0.0000 0.0000 7.6569
! * energy relative to the elements, uncorrected: 0.08 eV per atom
! * symmetry: I4mm (107)
! * crystal system: tetragonal
! * density: 9.5 g/cm3

***

! PaCoTcSb PBE-GGA relaxed; values from VASP
&SYSTEM
  ibrav = 0, nat = 16, ntyp = 4
/
ATOMIC_SPECIES
Pa 231.04 Pa.upf
Co 58.93 Co.upf
Tc 98.00 Tc.upf
Sb 121.76 Sb.upf
ATOMIC_POSITIONS angstrom
Pa 0.0000 0.0000 0.0000
Pa 0.0000 3.3269 3.3269
Pa 3.3269 0.0000 3.3269
Pa 3.3269 3.3269 0.0000
Co 1.6634 1.6634 1.6634
Co 1.6634 4.9903 4.9903
Co 4.9903 1.6634 4.9903
Co 4.9903 4.9903 1.6634
Tc 1.6634 1.6634 4.9903
Tc 1.6634 4.9903 1.6634
Tc 4.9903 1.6634 1.6634
Tc 4.9903 4.9903 4.9903
Sb 0.0000 0.0000 3.3269
Sb 0.0000 3.3269 0.0000
Sb 3.3269 0.0000 0.0000
Sb 3.3269 3.3269 3.3269
CELL_PARAMETERS angstrom
6.6538 0.0000 0.0000
0.0000 6.6538 0.0000
0.0000 0.0000 6.6538
! * energy relative to the elements, uncorrected: -0.10 eV per atom
! * symmetry: F-43m (216)
! * crystal system: cubic
! * density: 11.5 g/cm3

***

! Sc3Pa2Co4 PBE-GGA relaxed; values from VASP
&SYSTEM
  ibrav = 0, nat = 9, ntyp = 3
/
ATOMIC_SPECIES
Sc 44.96 Sc.upf
Pa 231.04 Pa.upf
Co 58.93 Co.upf
ATOMIC_POSITIONS angstrom
Sc 0.0000 0.0000 0.0000
Sc 3.1883 0.0000 5.3587
Sc 6.0120 0.0000 3.4328
Pa 3.0471 0.0000 1.9701
Pa 6.1531 0.0000 6.8215
Co 0.0986 0.0000 5.3689
Co 2.0454 0.0000 8.1272
Co 7.1549 0.0000 0.6644
Co 9.1016 0.0000 3.4226
CELL_PARAMETERS angstrom
5.2108 -1.8037 0.0000
5.2108 1.8037 0.0000
-1.2213 0.0000 8.7915
! * symmetry: C2/m (12)
! * crystal system: monoclinic
! * density: 8.4 g/cm3
! * DFT formation energy: -308 meV per atom

***

! ScPaCo2 PBE-GGA relaxed; values from VASP
&SYSTEM
  ibrav = 0, nat = 8, ntyp = 3
/
ATOMIC_SPECIES
Sc 44.96 Sc.upf
Pa 231.04 Pa.upf
Co 58.93 Co.upf
ATOMIC_POSITIONS angstrom
Sc 0.7526 0.9142 1.1670
Sc 2.6345 2.7425 5.5639
Pa -0.1380 0.9142 4.6341
Pa 3.5251 2.7425 2.0968
Co 0.7406 2.7425 3.1534
Co -0.2738 2.7425 6.3396
Co 3.6609 0.9142 0.3912
Co 2.6464 0.9142 3.5774
CELL_PARAMETERS angstrom
5.6122 0.0000 0.0000
0.0000 3.6567 0.0000
-2.2251 0.0000 6.7308
! * symmetry: P2_1/m (11)
! * crystal system: monoclinic
! * E above lowest polymorph: 0.0 kJ/mol of formula units
! * density: 9.5 g/cm3
! * DFT formation energy: -423 meV per atom

***

! Sc3PaCo4 PBE-GGA relaxed; values from VASP
&SYSTEM
  ibrav = 0, nat = 8, ntyp = 3
/
ATOMIC_SPECIES
Sc 44.96 Sc.upf
Pa 231.04 Pa.upf
Co 58.93 Co.upf
ATOMIC_POSITIONS angstrom
Sc 0.0000 0.0000 0.0000
Sc 0.0000 2.2828 2.0642
Sc 0.0000 2.2828 6.6616
Pa 0.0000 0.0000 4.3629
Co 1.6235 0.0000 2.3707
Co 1.6235 0.0000 6.3551
Co 1.6235 2.2828 0.0000
Co 1.6235 2.2828 4.3629
CELL_PARAMETERS angstrom
3.2471 0.0000 0.0000
0.0000 4.5655 0.0000
0.0000 0.0000 8.7258
! * symmetry: Pmmm (47)
! * crystal system: orthorhombic
! * density: 7.7 g/cm3
! * DFT formation energy: -341 meV per atom

***

! ScPaCo2 PBE-GGA relaxed; values from VASP
&SYSTEM
  ibrav = 0, nat = 8, ntyp = 3
/
ATOMIC_SPECIES
Sc 44.96 Sc.upf
Pa 231.04 Pa.upf
Co 58.93 Co.upf
ATOMIC_POSITIONS angstrom
Sc 0.0000 0.0000 0.0000
Sc 0.0000 1.7363 4.7844
Pa 2.0420 0.0000 2.6911
Pa 2.0420 1.7363 7.4755
Co 0.0000 0.0000 6.9213
Co 0.0000 1.7363 2.1369
Co 2.0420 0.0000 5.2436
Co 2.0420 1.7363 0.4592
CELL_PARAMETERS angstrom
4.0839 0.0000 0.0000
0.0000 3.4726 0.0000
0.0000 0.0000 9.5687
! * symmetry: Amm2 (38)
! * crystal system: orthorhombic
! * E above lowest polymorph: 10.6 kJ/mol of formula units
! * density: 9.6 g/cm3
! * DFT formation energy: -395 meV per atom

***

! ScPaCo2 PBE-GGA relaxed; values from VASP
&SYSTEM
  ibrav = 0, nat = 4, ntyp = 3
/
ATOMIC_SPECIES
Sc 44.96 Sc.upf
Pa 231.04 Pa.upf
Co 58.93 Co.upf
ATOMIC_POSITIONS angstrom
Sc 0.0000 0.0000 0.0000
Pa 2.2896 2.2896 0.0000
Co 0.0000 2.2896 1.6013
Co 2.2896 0.0000 1.6013
CELL_PARAMETERS angstrom
4.5791 0.0000 0.0000
0.0000 4.5791 0.0000
0.0000 0.0000 3.2027
! * symmetry: P4/mmm (123)
! * crystal system: tetragonal
! * E above lowest polymorph: 55.5 kJ/mol of formula units
! * density: 9.7 g/cm3
! * DFT formation energy: -279 meV per atom

***

! Sc2PaCo4 PBE-GGA relaxed; values from VASP
&SYSTEM
  ibrav = 0, nat = 7, ntyp = 3
/
ATOMIC_SPECIES
Sc 44.96 Sc.upf
Pa 231.04 Pa.upf
Co 58.93 Co.upf
ATOMIC_POSITIONS angstrom
Sc 0.0000 0.0000 4.9274
Sc 0.0000 0.0000 16.1237
Pa 0.0000 0.0000 0.0000
Co 0.0000 0.0000 2.3685
Co 0.0000 0.0000 7.9097
Co 0.0000 0.0000 13.1413
Co 0.0000 0.0000 18.6825
CELL_PARAMETERS angstrom
2.2073 1.2744 7.0170
-2.2073 1.2744 7.0170
0.0000 -2.5488 7.0170
! * symmetry: R-3m (166)
! * crystal system: trigonal
! * density: 7.8 g/cm3
! * DFT formation energy: -24 meV per atom

***

! ScPa2Co3 PBE-GGA relaxed; values from VASP
&SYSTEM
  ibrav = 0, nat = 12, ntyp = 3
/
ATOMIC_SPECIES
Sc 44.96 Sc.upf
Pa 231.04 Pa.upf
Co 58.93 Co.upf
ATOMIC_POSITIONS angstrom
Sc 3.9024 2.0904 5.3016
Sc 5.1459 -2.0904 1.7672
Pa 1.5087 0.0386 6.4706
Pa 2.7522 -0.0386 2.9362
Pa 6.2960 0.0386 4.1325
Pa 7.5395 -0.0386 0.5981
Co 0.3447 0.0339 4.1018
Co 1.5882 -0.0339 0.5675
Co 5.1459 0.5606 1.7672
Co 3.9024 -0.5606 5.3016
Co 7.4601 0.0339 6.5013
Co 8.7036 -0.0339 2.9669
CELL_PARAMETERS angstrom
5.7676 -2.6507 0.0000
5.7676 2.6507 0.0000
-2.4870 0.0000 7.0687
! * symmetry: C2/c (15)
! * crystal system: monoclinic
! * density: 10.5 g/cm3
! * DFT formation energy: -275 meV per atom

***

! ScPaCo2 PBE-GGA relaxed; values from VASP
&SYSTEM
  ibrav = 0, nat = 12, ntyp = 3
/
ATOMIC_SPECIES
Sc 44.96 Sc.upf
Pa 231.04 Pa.upf
Co 58.93 Co.upf
ATOMIC_POSITIONS angstrom
Sc 0.0000 0.0000 0.0000
Sc 0.0000 2.6992 7.3584
Sc 2.3376 1.3496 3.6792
Pa 0.0000 0.0000 5.5188
Pa 0.0000 2.6992 1.8396
Pa 2.3376 1.3496 9.1980
Co 0.0000 0.0000 3.1726
Co 0.0000 0.0000 7.8650
Co 0.0000 2.6992 4.1858
Co 0.0000 2.6992 10.5309
Co 2.3376 1.3496 0.5066
Co 2.3376 1.3496 6.8518
CELL_PARAMETERS angstrom
4.6752 0.0000 0.0000
-2.3376 4.0489 0.0000
0.0000 0.0000 11.0376
! * symmetry: R-3m (166)
! * crystal system: trigonal
! * E above lowest polymorph: 45.7 kJ/mol of formula units
! * density: 9.4 g/cm3
! * DFT formation energy: -304 meV per atom

***

no.,M_tot (μB per cell)
1,4.42
2,0.00
3,0.00
4,7.31
5,0.00
6,0.00
7,0.00
8,0.00
9,0.00
10,0.00
11,0.00
12,0.00